1.
## Zn3NiRh2 (PBE-GGA)

Data for crystalline Zn3NiRh2 at its relaxed geometry.

Structure (CIF):
```
data_Zn3NiRh2
_cell_length_a 4.2281
_cell_length_b 4.2281
_cell_length_c 10.3347
_cell_angle_alpha 90.00
_cell_angle_beta 90.00
_cell_angle_gamma 120.00
_space_group_name_H-M_alt 'P -3 m 1'
_space_group_IT_number 164
_space_group_name_Hall '-P 3 2"'
loop_
_atom_site_label
_atom_site_fract_x
_atom_site_fract_y
_atom_site_fract_z
_atom_site_occupancy
Zn1 0.0000 0.0000 0.2470 1
Zn2 0.3333 0.6667 0.4137 1
Zn3 0.3333 0.6667 0.9180 1
Ni1 0.3333 0.6667 0.1646 1
Rh1 0.0000 0.0000 0.0000 1
Rh2 0.0000 0.0000 0.5000 1
Rh3 0.3333 0.6667 0.6714 1
```

Output
For the total magnetization, the calculation gives 0.000 μB per atom. As for the formation energy: -2.17 eV/f.u. The value obtained for the total DFT energy (no corrections) is -4.412 eV per atom. As for the density of states at the Fermi level: 3.5 states/eV per cell.


2.
## Zn8NiRh2 (PBE-GGA)

Data for crystalline Zn8NiRh2 at its relaxed geometry.

Structure (CIF):
```
data_Zn8NiRh2
_cell_length_a 4.081
_cell_length_b 6.510
_cell_length_c 11.828
_cell_angle_alpha 90.00
_cell_angle_beta 90.00
_cell_angle_gamma 90.00
_space_group_name_H-M_alt 'I m m m'
_space_group_IT_number 71
_space_group_name_Hall '-I 2 2'
loop_
_atom_site_label
_atom_site_fract_x
_atom_site_fract_y
_atom_site_fract_z
_atom_site_occupancy
Zn1 0.000 0.000 0.149 1
Zn2 0.000 0.213 0.359 1
Zn3 0.000 0.304 0.000 1
Ni1 0.000 0.500 0.500 1
Rh1 0.000 0.500 0.204 1
```

Output
For the total magnetization, the calculation gives 0.000 μB per atom. As for the formation energy: -2.54 eV/f.u. The value obtained for the total DFT energy (no corrections) is -3.020 eV per atom. As for the density of states at the Fermi level: 8.8 states/eV per cell.


3.
## ZnNi3Rh (PBE-GGA)

Data for crystalline ZnNi3Rh at its relaxed geometry.

Structure (CIF):
```
data_ZnNi3Rh
_cell_length_a 4.473
_cell_length_b 4.230
_cell_length_c 6.792
_cell_angle_alpha 90.00
_cell_angle_beta 108.89
_cell_angle_gamma 90.00
_space_group_name_H-M_alt 'P 1 21/m 1'
_space_group_IT_number 11
loop_
_space_group_symop_operation_xyz
'x,y,z'
'-x,-y,-z'
'-x,y+1/2,-z'
'x,-y+1/2,z'
loop_
_atom_site_label
_atom_site_fract_x
_atom_site_fract_y
_atom_site_fract_z
_atom_site_occupancy
Zn1 0.072 0.250 0.295 1
Ni1 0.139 0.750 0.095 1
Ni2 0.339 0.750 0.502 1
Ni3 0.462 0.250 0.098 1
Rh1 0.269 0.250 0.705 1
```

Output
For the total magnetization, the calculation gives 0.393 μB per atom. As for the formation energy: -0.39 eV/f.u. The value obtained for the total DFT energy (no corrections) is -5.272 eV per atom. As for the density of states at the Fermi level: 12.1 states/eV per cell.


4.
## Zn3NiRh2 (PBE-GGA)

Data for crystalline Zn3NiRh2 at its relaxed geometry.

Structure (CIF):
```
data_Zn3NiRh2
_cell_length_a 3.008
_cell_length_b 3.008
_cell_length_c 8.821
_cell_angle_alpha 90.00
_cell_angle_beta 90.00
_cell_angle_gamma 90.00
_space_group_name_H-M_alt 'P 4/m m m'
_space_group_IT_number 123
_space_group_name_Hall '-P 4 2'
loop_
_atom_site_label
_atom_site_fract_x
_atom_site_fract_y
_atom_site_fract_z
_atom_site_occupancy
Zn1 0.000 0.000 0.000 1
Zn2 0.000 0.000 0.343 1
Ni1 0.500 0.500 0.500 1
Rh1 0.500 0.500 0.175 1
```

Output
For the total magnetization, the calculation gives 0.000 μB per atom. As for the formation energy: -2.10 eV/f.u. The value obtained for the total DFT energy (no corrections) is -4.401 eV per atom. As for the density of states at the Fermi level: 3.3 states/eV per cell.


5.
## Zn6NiRh3 (PBE-GGA)

Data for crystalline Zn6NiRh3 at its relaxed geometry.

Structure (CIF):
```
data_Zn6NiRh3
_cell_length_a 7.227
_cell_length_b 4.322
_cell_length_c 9.290
_cell_angle_alpha 90.00
_cell_angle_beta 109.62
_cell_angle_gamma 90.00
_space_group_name_H-M_alt 'P 1 21/m 1'
_space_group_IT_number 11
loop_
_space_group_symop_operation_xyz
'x,y,z'
'-x,-y,-z'
'-x,y+1/2,-z'
'x,-y+1/2,z'
loop_
_atom_site_label
_atom_site_fract_x
_atom_site_fract_y
_atom_site_fract_z
_atom_site_occupancy
Zn1 0.034 0.250 0.416 1
Zn2 0.159 0.750 0.185 1
Zn3 0.253 0.250 0.011 1
Zn4 0.335 0.250 0.328 1
Zn5 0.358 0.750 0.796 1
Zn6 0.447 0.250 0.633 1
Ni1 0.457 0.750 0.080 1
Rh1 0.048 0.750 0.891 1
Rh2 0.146 0.250 0.714 1
Rh3 0.275 0.750 0.490 1
```

Output
For the total magnetization, the calculation gives 0.000 μB per atom. As for the formation energy: -3.30 eV/f.u. The value obtained for the total DFT energy (no corrections) is -3.878 eV per atom. As for the density of states at the Fermi level: 8.0 states/eV per cell.


6.
## Zn2Ni2Rh (PBE-GGA)

Data for crystalline Zn2Ni2Rh at its relaxed geometry.

Structure (CIF):
```
data_Zn2Ni2Rh
_cell_length_a 6.878
_cell_length_b 6.878
_cell_length_c 2.707
_cell_angle_alpha 90.00
_cell_angle_beta 90.00
_cell_angle_gamma 90.00
_space_group_name_H-M_alt 'P 4/m b m'
_space_group_IT_number 127
_space_group_name_Hall '-P 4 2ab'
loop_
_atom_site_label
_atom_site_fract_x
_atom_site_fract_y
_atom_site_fract_z
_atom_site_occupancy
Zn1 0.132 0.368 0.000 1
Ni1 0.167 0.667 0.500 1
Rh1 0.000 0.000 0.000 1
```

Output
For the total magnetization, the calculation gives 0.000 μB per atom. As for the formation energy: -0.34 eV/f.u. The value obtained for the total DFT energy (no corrections) is -4.361 eV per atom. As for the density of states at the Fermi level: 9.0 states/eV per cell.


7.
## Zn2NiRh (PBE-GGA)

Data for crystalline Zn2NiRh at its relaxed geometry.

Structure (CIF):
```
data_Zn2NiRh
_cell_length_a 2.724
_cell_length_b 3.707
_cell_length_c 5.267
_cell_angle_alpha 90.00
_cell_angle_beta 90.00
_cell_angle_gamma 90.00
_space_group_name_H-M_alt 'P m m 2'
_space_group_IT_number 25
loop_
_space_group_symop_operation_xyz
'x,y,z'
'-x,-y,z'
'-x,y,z'
'x,-y,z'
loop_
_atom_site_label
_atom_site_fract_x
_atom_site_fract_y
_atom_site_fract_z
_atom_site_occupancy
Zn1 0.000 0.000 0.000 1
Zn2 0.500 0.500 0.275 1
Ni1 0.000 0.000 0.500 1
Rh1 0.500 0.500 0.764 1
```

Output
For the total magnetization, the calculation gives 0.000 μB per atom. As for the formation energy: -0.69 eV/f.u. The value obtained for the total DFT energy (no corrections) is -4.092 eV per atom. As for the density of states at the Fermi level: 3.8 states/eV per cell.


8.
## Zn2NiRh2 (PBE-GGA)

Data for crystalline Zn2NiRh2 at its relaxed geometry.

Structure (CIF):
```
data_Zn2NiRh2
_cell_length_a 6.736
_cell_length_b 6.736
_cell_length_c 3.215
_cell_angle_alpha 90.00
_cell_angle_beta 90.00
_cell_angle_gamma 90.00
_space_group_name_H-M_alt 'P 4/m b m'
_space_group_IT_number 127
_space_group_name_Hall '-P 4 2ab'
loop_
_atom_site_label
_atom_site_fract_x
_atom_site_fract_y
_atom_site_fract_z
_atom_site_occupancy
Zn1 0.160 0.340 0.000 1
Ni1 0.000 0.000 0.500 1
Rh1 0.140 0.640 0.500 1
```

Output
For the total magnetization, the calculation gives 0.261 μB per atom. As for the formation energy: -0.01 eV/f.u. The value obtained for the total DFT energy (no corrections) is -4.609 eV per atom. As for the density of states at the Fermi level: 12.2 states/eV per cell.